Entry 1:
{"formula": "Ce3Ag4Au4", "functional": "PBE", "state": "relaxed", "relative_energy_mev_per_atom": 7, "energy_ev_per_cell": -46.5, "spacegroup": "Immm", "magmom_total_mub_per_fu": 3.12, "lattice_angstrom": [[4.106, 0.000, -1.130], [-0.895, 7.232, -3.251], [0.196, -0.452, 8.734]], "species": ["Ce", "Ce", "Ce", "Ag", "Ag", "Ag", "Ag", "Au", "Au", "Au", "Au"], "fractional_positions": [[0.127, 0.127, 0.254], [0.873, 0.873, 0.746], [0.000, 0.500, 0.000], [0.327, 0.128, 0.654], [0.673, 0.474, 0.346], [0.673, 0.872, 0.346], [0.327, 0.526, 0.654], [0.222, 0.722, 0.443], [0.778, 0.278, 0.557], [0.500, 0.817, 0.000], [0.500, 0.183, 0.000]]}


Entry 2:
{"formula": "Pm9SmY2", "functional": "PBE", "state": "relaxed", "energy_ev_per_cell": -60.2, "spacegroup": "P4/mmm", "magmom_total_mub_per_fu": 0.00, "lattice_angstrom": [[-2.061, -3.687, -2.930], [-2.623, -1.758, 4.057], [-11.730, 9.360, -3.530]], "species": ["Pm", "Pm", "Pm", "Pm", "Pm", "Pm", "Pm", "Pm", "Pm", "Sm", "Y", "Y"], "fractional_positions": [[0.500, 0.500, 0.000], [0.500, 0.500, 0.334], [0.500, 0.500, 0.666], [0.500, 0.000, 0.167], [0.500, 0.000, 0.500], [0.500, 0.000, 0.833], [0.000, 0.500, 0.167], [0.000, 0.500, 0.500], [0.000, 0.500, 0.833], [0.000, 0.000, 0.000], [0.000, 0.000, 0.334], [0.000, 0.000, 0.666]]}


Entry 3:
{"formula": "Ta2InAg", "functional": "PBE", "state": "relaxed", "energy_ev_per_cell": -28.2, "spacegroup": "Cmmm", "magmom_total_mub_per_fu": 0.00, "lattice_angstrom": [[6.375, 0.031, 0.105], [-2.539, 4.676, -0.056], [1.296, 0.734, 2.516]], "species": ["Ta", "Ta", "Ag", "In"], "fractional_positions": [[0.000, 0.000, 0.000], [0.500, 0.000, 0.500], [0.000, 0.500, 0.500], [0.500, 0.500, 0.000]]}


Entry 4:
{"formula": "Sr2TiNbHg", "functional": "PBE", "state": "relaxed", "energy_ev_per_cell": -17.8, "spacegroup": "P4/mmm", "magmom_total_mub_per_fu": 0.98, "lattice_angstrom": [[6.196, 0.000, 0.000], [0.000, 4.553, 0.000], [0.000, 0.000, 6.196]], "species": ["Sr", "Sr", "Nb", "Hg", "Ti"], "fractional_positions": [[0.000, 0.000, 0.500], [0.500, 0.000, 0.000], [0.000, 0.500, 0.000], [0.500, 0.500, 0.500], [0.000, 0.000, 0.000]]}